A plane-wave DFT calculation with meta-GGA SCAN was carried out for a crystal of SiTe2 relaxed with PBEsol.

Unit cell a=3.011 b=5.221 c=5.221 alpha=90.00 beta=90.00 gamma=90.00
Atoms (fractional coordinates):
Te (0.500, 0.500, 0.000)
Te (0.500, 0.000, 0.500)
Si (0.000, 0.000, 0.000)

Calculated values
Uncorrected energy (eV/cell): -82.883
Formation energy without anion corrections (kJ/mol of atoms): 52.6